Record 1
# Ac5BN6 (PBE-GGA, optimized geometry)
# total moment	0.0	μB per formula unit
# N(E_F)	2.6	states/eV/f.u.
# crystal system	monoclinic
# energy	-7.259	eV/atom
# SG	C2/m (12)
data_Ac5BN6
_symmetry_space_group_name_H-M 'P 1'
_symmetry_Int_Tables_number 1
_symmetry_space_group_name_Hall 'P 1'
_cell_length_a 7.2837
_cell_length_b 7.2837
_cell_length_c 7.3148
_cell_angle_alpha 96.73
_cell_angle_beta 96.73
_cell_angle_gamma 125.81
loop_
_atom_site_label
_atom_site_type_symbol
_atom_site_fract_x
_atom_site_fract_y
_atom_site_fract_z
_atom_site_occupancy
Ac1 Ac 0.0000 0.0000 0.0000 1
Ac2 Ac 0.1312 0.8688 0.5000 1
Ac3 Ac 0.3030 0.6970 0.0000 1
Ac4 Ac 0.6970 0.3030 0.0000 1
Ac5 Ac 0.8688 0.1312 0.5000 1
B1 B 0.5000 0.5000 0.5000 1
N1 N 0.0418 0.7213 0.1612 1
N2 N 0.2787 0.9582 0.8388 1
N3 N 0.2864 0.2864 0.4499 1
N4 N 0.7136 0.7136 0.5501 1
N5 N 0.7213 0.0418 0.1612 1
N6 N 0.9582 0.2787 0.8388 1

=====

Record 2
# Ac2BN3 (PBE-GGA, optimized geometry)
# total moment	0.0	μB per formula unit
# N(E_F)	1.0	states/eV/f.u.
# energy above the most stable polymorph in this dataset	0.431	eV per atom
# crystal system	orthorhombic
# SG	Immm (71)
data_Ac2BN3
_symmetry_space_group_name_H-M 'P 1'
_symmetry_Int_Tables_number 1
_symmetry_space_group_name_Hall 'P 1'
_cell_length_a 6.4697
_cell_length_b 6.4697
_cell_length_c 6.4697
_cell_angle_alpha 147.40
_cell_angle_beta 136.65
_cell_angle_gamma 55.28
loop_
_atom_site_label
_atom_site_type_symbol
_atom_site_fract_x
_atom_site_fract_y
_atom_site_fract_z
_atom_site_occupancy
Ac1 Ac 0.1452 0.1452 0.0000 1
Ac2 Ac 0.8548 0.8548 0.0000 1
B1 B 0.5000 0.5000 0.0000 1
N1 N 0.0000 0.5000 0.5000 1
N2 N 0.3765 0.3765 0.0000 1
N3 N 0.6235 0.6235 0.0000 1

=====

total moment of number 2 (Ac2BN3)?
0.0 μB per formula unit